1.
Crystalline Y2PPb at its relaxed geometry. Source: Alexandria, functional PBE-GGA.

Calculated values
**Space group**: C2/m, No. 12
**D(E_F)**: 1.5 states/eV/cell
**Total energy**: -0.2424 Ha/atom
**Distance to the lowest polymorph of the same formula**: 0.000 eV/f.u.
**Energy of formation from the pure elements**: -1085 meV per atom

a = 3.941 Å, b = 3.941 Å, c = 8.234 Å
α = 76.28°, β = 76.28°, γ = 59.97°
Fractional coordinates of all 4 atoms:
P: 0.250 0.250 0.250
Pb: 0.750 0.750 0.750
Y: 0.982 0.982 0.052
Y: 0.518 0.518 0.448

2.
Crystalline YHNF2 at its relaxed geometry. Source: Alexandria, functional PBE-GGA.

Calculated values
**Space group**: P4/mmm, No. 123
**D(E_F)**: 0.0 states/eV/cell
**Total energy**: -0.2056 Ha/atom
**Distance to the lowest polymorph of the same formula**: 0.171 eV/f.u.

a = 4.420 Å, b = 4.863 Å, c = 4.420 Å
α = 90.00°, β = 90.00°, γ = 90.00°
Site moments in Bohr magnetons follow the coordinates.
Fractional coordinates of all 5 atoms:
H: 0.500 0.500 0.500  0.39
F: 0.500 0.000 0.000  0.03
N: 0.000 0.500 0.000  1.20
F: 0.000 0.000 0.500  0.02
Y: 0.000 0.000 0.000  0.00

3.
Crystalline SmB2C2 at its relaxed geometry. Source: Alexandria, functional PBE-GGA.

Calculated values
**Space group**: P-3m1, No. 164
**D(E_F)**: 3.9 states/eV/cell
**Total energy**: -0.2339 Ha/atom
**Energy of formation from the pure elements**: 938 meV per atom

a = 3.635 Å, b = 3.635 Å, c = 5.972 Å
α = 90.00°, β = 90.00°, γ = 120.00°
Fractional coordinates of all 5 atoms:
B: 0.667 0.333 0.535
Sm: 0.000 0.000 0.000
C: 0.667 0.333 0.773
C: 0.333 0.667 0.227
B: 0.333 0.667 0.465

4.
Crystalline MgCoHg2 at its relaxed geometry. Source: Alexandria, functional PBE-GGA.

Calculated values
**Space group**: P4/mmm, No. 123
**D(E_F)**: 4.1 states/eV/cell
**Total energy**: -0.0791 Ha/atom
**Energy of formation from the pure elements**: 174 meV per atom

a = 3.327 Å, b = 3.325 Å, c = 6.537 Å
α = 90.00°, β = 90.00°, γ = 90.00°
Site moments in Bohr magnetons follow the coordinates.
Fractional coordinates of all 4 atoms:
Mg: 0.500 0.500 0.250  0.00
Hg: 0.000 0.000 0.980  -0.03
Hg: 0.000 0.000 0.520  -0.03
Co: 0.500 0.500 0.750  1.35